Here is a relaxed HfVO5 crystal from Alexandria. Energies are from PBE+U.

The structure belongs to space group Pnma (No. 62); the cell edges are 12.3768, 5.7779 and 7.2864 Å and the angles 90.00°, 90.00° and 90.00°. The inequivalent atoms are Hf at (0.0627, 0.2500, 0.1628), V at (0.1535, 0.7500, 0.4694), O at (0.0000, 0.0000, 0.0000), O at (0.0718, 0.7500, 0.6644), O at (0.1247, 0.5070, 0.3405) and O at (0.2107, 0.2500, 0.0320).

The value obtained for the polymorph energy (0 for the lowest one) is 0.0 meV/atom. The final energy is -233.1 eV/cell.